(1)
DFT (PBE) results for a relaxed InSnPbCl5 crystal.

a = 7.9117 Å, b = 7.9117 Å, c = 11.3576 Å
α = 112.83°, β = 112.83°, γ = 97.22°
Closest atoms and distances in Å follow each position.
Fractional coordinates of all 16 atoms:
In 0.3057 0.6943 0.2500  3 Cl 2.99-3.22
In 0.6943 0.3057 0.7500  3 Cl 2.99-3.22
Sn 0.7491 0.2509 0.2500  4 Cl 2.59-2.86
Sn 0.2509 0.7491 0.7500  4 Cl 2.59-2.86
Pb 0.0000 0.0000 0.5000  6 Cl 2.91-2.94
Pb 0.0000 0.0000 0.0000  6 Cl 2.91-2.94
Cl 0.0540 0.9460 0.2500  2 Pb 2.91, 1 In 2.99
Cl 0.9460 0.0540 0.7500  2 Pb 2.91, 1 In 2.99
Cl 0.8980 0.3544 0.0863  1 Sn 2.86, 1 Pb 2.92
Cl 0.1020 0.6456 0.9137  1 Sn 2.86, 1 Pb 2.92
Cl 0.6456 0.1020 0.4137  1 Sn 2.86, 1 Pb 2.92
Cl 0.3544 0.8980 0.5863  1 Sn 2.86, 1 Pb 2.92
Cl 0.7920 0.6047 0.4195  1 Sn 2.59
Cl 0.2080 0.3953 0.5805  1 Sn 2.59
Cl 0.3953 0.2080 0.0805  1 Sn 2.59
Cl 0.6047 0.7920 0.9195  1 Sn 2.59

Computed properties:
magnetization: 0.00 μB/f.u.
theoretical density: 3.59 g/cm3
symmetry: C2/c
density of states at the Fermi level: 0.00 states/eV/cell
raw formation energy: -992 meV/atom

(2)
DFT (PBE) results for a relaxed SrInPb2Cl crystal.

a = 5.6611 Å, b = 5.5244 Å, c = 5.6611 Å
α = 90.00°, β = 90.00°, γ = 90.00°
Closest atoms and distances in Å follow each position.
Fractional coordinates of all 5 atoms:
Pb 0.0000 0.0000 0.5000  2 Cl 2.83
Pb 0.5000 0.0000 0.0000  2 Cl 2.83
Sr 0.0000 0.5000 0.0000  2 Cl 2.76
Cl 0.0000 0.0000 0.0000  2 Sr 2.76, 4 Pb 2.83
In 0.5000 0.5000 0.5000  8 Pb 3.95, 4 Sr 4.00

Computed properties:
magnetization: 0.00 μB/f.u.
theoretical density: 6.12 g/cm3
symmetry: P4/mmm
density of states at the Fermi level: 2.05 states/eV/cell
raw formation energy: -240 meV/atom

(3)
DFT (PBE) results for a relaxed TbInPb2Cl8 crystal.

a = 6.8584 Å, b = 6.5750 Å, c = 8.9332 Å
α = 90.00°, β = 90.00°, γ = 89.20°
Closest atoms and distances in Å follow each position.
Fractional coordinates of all 12 atoms:
Tb 0.0000 0.0000 0.0000  6 Cl 2.66-2.70
In 0.0000 0.0000 0.5000  6 Cl 3.10-3.15
Pb 0.5000 0.5000 0.7490  6 Cl 2.83-3.09
Pb 0.5000 0.5000 0.2510  6 Cl 2.83-3.09
Cl 0.1604 0.7714 0.2147  1 Tb 2.66, 1 Pb 2.93
Cl 0.6880 0.7537 0.0000  1 Tb 2.70
Cl 0.8395 0.2285 0.2147  1 Tb 2.66, 1 Pb 2.93
Cl 0.8396 0.2286 0.7853  1 Tb 2.66, 1 Pb 2.93
Cl 0.3120 0.2463 0.0000  1 Tb 2.70
Cl 0.1605 0.7715 0.7853  1 Tb 2.66, 1 Pb 2.93
Cl 0.6396 0.7219 0.5000  2 Pb 2.83, 1 In 3.10
Cl 0.3604 0.2781 0.5000  2 Pb 2.83, 1 In 3.10

Computed properties:
magnetization: 0.00 μB/f.u.
theoretical density: 4.01 g/cm3
symmetry: P2/m
density of states at the Fermi level: 0.00 states/eV/cell
raw formation energy: -1467 meV/atom